[1]
A plane-wave DFT calculation with PBE-GGA was carried out for an optimized crystal structure of TiZn2Pb.

```
TiZn2Pb
1.0
-4.1259 -0.7936 0.0813
0.3799 -2.3242 -3.4105
0.6890 -3.3411 2.3537
Pb Zn Ti
1 2 1
direct
0.5000 0.0000 0.0000
0.0000 0.0000 0.5000
0.0000 0.5000 0.0000
0.5000 0.5000 0.5000
```

## Properties
Mass density ... 8.9 g/cm3
Energy of formation from the pure elements ... 0.01 eV per atom
Spin magnetization ... 0.00 μB per formula unit


[2]
A plane-wave DFT calculation with PBE-GGA was carried out for an optimized crystal structure of Ca2InCo.

```
Ca2InCo
1.0
3.5083 0.0000 0.0000
0.0000 3.5430 0.0134
0.0000 3.5159 7.8462
Ca In Co
2 1 1
direct
0.0000 0.9633 0.0369
0.0000 0.5367 0.4631
0.5000 0.7500 0.7500
0.5000 0.2500 0.2500
```

## Properties
Mass density ... 4.3 g/cm3
Energy of formation from the pure elements ... 0.02 eV per atom
Spin magnetization ... 0.75 μB per formula unit


[3]
A plane-wave DFT calculation with PBE-GGA was carried out for an optimized crystal structure of Gd2GaSi.

```
Gd2GaSi
1.0
3.8527 0.0000 0.0000
1.9264 3.3366 0.0000
1.9264 1.1122 8.0444
Gd Ga Si
2 1 1
direct
0.7439 0.7439 0.7684
0.2561 0.2561 0.2316
0.5000 0.5000 0.5000
0.0000 0.0000 0.0000
```

## Properties
Raw formation energy ... -406.2 meV per atom
Mass density ... 6.6 g/cm3
Polymorph energy (0 for the lowest one) ... 0.564 eV/f.u.
Spin magnetization ... 14.22 μB per formula unit


[4]
A plane-wave DFT calculation with PBE-GGA was carried out for an optimized crystal structure of ZrTlC3.

```
ZrTlC3
1.0
-0.6160 4.1917 -0.3295
-0.0035 -0.3335 -4.2364
-4.2046 -0.6138 0.0518
C Tl Zr
3 1 1
direct
0.0000 0.0000 0.5000
0.5000 0.0000 0.0000
0.0000 0.5000 0.0000
0.0000 0.0000 0.0000
0.5000 0.5000 0.5000
```

## Properties
Mass density ... 7.2 g/cm3
Polymorph energy (0 for the lowest one) ... 4.156 eV/f.u.
Energy of formation from the pure elements ... 2.83 eV per atom
Spin magnetization ... 0.00 μB per formula unit